#P
Material: Pt3Rh5
Method: DFT, PBE-GGA
State: optimized geometry

Unit cell a=5.5227 b=5.5227 c=3.8645 alpha=90.00 beta=90.00 gamma=90.03
With the nearest neighbours (Å) after each atom.
Atoms (fractional coordinates):
Rh: 0.2478 0.7522 0.5000  6 Rh 2.74-2.75, 6 Pt 2.74-2.79
Rh: 0.0000 0.5000 0.0000  6 Rh 2.75-2.76, 6 Pt 2.75-2.76
Rh: 0.7522 0.2478 0.5000  6 Rh 2.74-2.75, 6 Pt 2.74-2.79
Pt: 0.7525 0.7525 0.5000  10 Rh 2.73-2.79, 2 Pt 2.76
Rh: 0.0000 0.0000 0.0000  4 Pt 2.73, 8 Rh 2.74-2.76
Pt: 0.2475 0.2475 0.5000  10 Rh 2.73-2.79, 2 Pt 2.76
Rh: 0.5000 0.0000 0.0000  6 Rh 2.75-2.76, 6 Pt 2.75-2.76
Pt: 0.5000 0.5000 0.0000  8 Rh 2.76, 4 Pt 2.76

#Q
Material: Pt3Rh5
Method: DFT, PBE-GGA
State: optimized geometry

Unit cell a=7.6411 b=7.6410 c=4.9066 alpha=90.00 beta=90.00 gamma=60.00
With the nearest neighbours (Å) after each atom.
Atoms (fractional coordinates):
Pt: 0.0000 0.3968 0.2500  8 Rh 2.63-2.84, 2 Pt 2.92
Pt: 0.6032 0.0000 0.2500  8 Rh 2.63-2.84, 2 Pt 2.92
Rh: 0.0000 0.2103 0.7500  4 Pt 2.63-2.84, 6 Rh 2.78-2.93
Rh: 0.6667 0.6667 0.0000  2 Rh 2.45, 6 Pt 2.64
Rh: 0.7897 0.0000 0.7500  4 Pt 2.63-2.84, 6 Rh 2.78-2.93
Pt: 0.0000 0.6032 0.7500  8 Rh 2.63-2.84, 2 Pt 2.92
Rh: 0.0000 0.7897 0.2500  4 Pt 2.63-2.84, 6 Rh 2.78-2.93
Rh: 0.3333 0.3333 0.0000  2 Rh 2.45, 6 Pt 2.64
Pt: 0.3968 0.0000 0.7500  8 Rh 2.63-2.84, 2 Pt 2.92
Rh: 0.3333 0.3333 0.5000  2 Rh 2.45, 6 Pt 2.64
Rh: 0.7897 0.2103 0.2500  4 Pt 2.63-2.84, 6 Rh 2.78-2.93
Pt: 0.6032 0.3968 0.7500  8 Rh 2.63-2.84, 2 Pt 2.92
Pt: 0.3968 0.6032 0.2500  8 Rh 2.63-2.84, 2 Pt 2.92
Rh: 0.2103 0.7897 0.7500  4 Pt 2.63-2.84, 6 Rh 2.78-2.93
Rh: 0.6667 0.6667 0.5000  2 Rh 2.45, 6 Pt 2.64
Rh: 0.2103 0.0000 0.2500  4 Pt 2.63-2.84, 6 Rh 2.78-2.93

The most stable of them is #P.